# 1
{
  "formula": "Li5Zn2Ga",
  "functional": "PBE-GGA",
  "state": "optimized geometry",
  "formation_energy_ev_per_atom": -0.1673,
  "vol_a3_per_cell": 126.1,
  "cell": [[3.821, 0.000, -1.050], [-0.289, 3.810, -1.050], [0.280, 0.302, 8.494]],
  "species": ["Li", "Li", "Li", "Li", "Li", "Zn", "Zn", "Ga"],
  "frac_coords": [[0.500, 0.500, 0.000], [0.871, 0.371, 0.743], [0.371, 0.871, 0.743], [0.629, 0.129, 0.257], [0.129, 0.629, 0.257], [0.747, 0.747, 0.494], [0.253, 0.253, 0.506], [0.000, 0.000, 0.000]]
}



# 2
{
  "formula": "UPaGaRh",
  "functional": "PBE-GGA",
  "state": "optimized geometry",
  "formation_energy_ev_per_atom": -0.2109,
  "vol_a3_per_cell": 78.6,
  "cell": [[4.807, 0.000, 0.000], [2.404, 4.163, 0.000], [2.404, 1.388, 3.925]],
  "species": ["U", "Ga", "Pa", "Rh"],
  "frac_coords": [[0.750, 0.750, 0.750], [0.500, 0.500, 0.500], [0.000, 0.000, 0.000], [0.250, 0.250, 0.250]]
}



# 3
{
  "formula": "KSbI2O",
  "functional": "PBE-GGA",
  "state": "optimized geometry",
  "e_form_raw_ev_per_atom": 0.41,
  "e_above_lowest_polymorph_mev_per_atom": 1295,
  "vol_a3_per_cell": 167.6,
  "cell": [[-6.150, -0.368, -0.868], [0.882, -0.212, -6.155], [0.233, -4.320, 0.182]],
  "species": ["O", "I", "I", "Sb", "K"],
  "frac_coords": [[0.000, 0.000, 0.500], [0.500, 0.000, 0.000], [0.000, 0.500, 0.000], [0.500, 0.500, 0.500], [0.000, 0.000, 0.000]]
}



# 4
{
  "formula": "ZrTa3Ni",
  "functional": "PBE-GGA",
  "state": "optimized geometry",
  "e_above_lowest_polymorph_mev_per_atom": 1516,
  "formation_energy_ev_per_atom": 2.2194,
  "vol_a3_per_cell": 113.8,
  "cell": [[4.846, 0.000, 0.000], [0.000, 4.846, 0.000], [0.000, 0.000, 4.846]],
  "species": ["Ta", "Ta", "Ta", "Zr", "Ni"],
  "frac_coords": [[0.000, 0.000, 0.500], [0.000, 0.500, 0.000], [0.500, 0.000, 0.000], [0.000, 0.000, 0.000], [0.500, 0.500, 0.500]]
}